# 1
Material: BeAs2SeI
Method: DFT, PBE
State: relaxed

The structure belongs to space group P4/mmm (No. 123); the cell edges are 4.917, 4.917 and 4.363 Å and the angles 90.00°, 90.00° and 90.00°. The distinct sites, in fractional coordinates, are Be at (0.000, 0.000, 0.000), As at (0.000, 0.500, 0.000), Se at (0.000, 0.000, 0.500) and I at (0.500, 0.500, 0.500).

The calculation puts the excess energy over the best structure of this formula in the dataset at 0.000 eV/atom. For the electronic total energy, the calculation gives -15.50 eV/f.u.

# 2
Material: Sr2ReW
Method: DFT, PBE
State: relaxed

The structure belongs to space group P4/mmm (No. 123); the cell edges are 5.894, 5.894 and 2.791 Å and the angles 90.00°, 90.00° and 90.00°. The distinct sites, in fractional coordinates, are Sr at (0.000, 0.500, 0.000), Re at (0.000, 0.000, 0.500) and W at (0.500, 0.500, 0.500).

The calculation puts the excess energy over the best structure of this formula in the dataset at 1.163 eV/atom. For the electronic total energy, the calculation gives -22.02 eV/f.u.